(1)
# PBE-GGA NaAsPb2Se4, relaxed
# N(E_F) ... 0.2242 states/eV/atom
# E_tot ... -3.886 eV per atom
# Volume ... 26.2 A^3/atom
# Formation energy from raw total energies ... -0.47 eV/atom
data_NaAsPb2Se4
_cell_length_a 8.386
_cell_length_b 8.386
_cell_length_c 8.494
_cell_angle_alpha 120.43
_cell_angle_beta 120.43
_cell_angle_gamma 89.37
_symmetry_space_group_name_H-M 'P 1'
_symmetry_Int_Tables_number 1
_symmetry_space_group_name_Hall 'P 1'
loop_
_atom_site_label
_atom_site_fract_x
_atom_site_fract_y
_atom_site_fract_z
Na1 0.000 0.500 0.000
Na2 0.000 0.500 0.500
As1 0.500 0.500 0.500
As2 0.000 0.000 0.000
Pb1 0.500 0.000 0.000
Pb2 0.500 0.000 0.500
Pb3 0.000 0.000 0.500
Pb4 0.500 0.500 0.000
Se1 0.228 0.758 0.993
Se2 0.742 0.272 0.507
Se3 0.258 0.728 0.493
Se4 0.772 0.242 0.007
Se5 0.756 0.744 0.973
Se6 0.756 0.744 0.527
Se7 0.244 0.256 0.473
Se8 0.244 0.256 0.027

---

(2)
# PBE-GGA NaAs2PbSe, relaxed
# N(E_F) ... 1.2642 states/eV/atom
# E_tot ... -2.921 eV per atom
# Volume ... 27.1 A^3/atom
# Formation energy from raw total energies ... 0.64 eV/atom
data_NaAs2PbSe
_cell_length_a 5.060
_cell_length_b 5.060
_cell_length_c 5.285
_cell_angle_alpha 90.00
_cell_angle_beta 90.00
_cell_angle_gamma 90.00
_symmetry_space_group_name_H-M 'P 1'
_symmetry_Int_Tables_number 1
_symmetry_space_group_name_Hall 'P 1'
loop_
_atom_site_label
_atom_site_fract_x
_atom_site_fract_y
_atom_site_fract_z
Pb1 0.500 0.500 0.500
Na1 0.000 0.000 0.000
As1 0.000 0.500 0.000
As2 0.500 0.000 0.000
Se1 0.000 0.000 0.500

---

(3)
# PBE-GGA NaAs2PbSe, relaxed
# N(E_F) ... 0.9166 states/eV/atom
# E_tot ... -3.056 eV per atom
# Volume ... 36.5 A^3/atom
# Formation energy from raw total energies ... 0.51 eV/atom
data_NaAs2PbSe
_cell_length_a 5.619
_cell_length_b 5.619
_cell_length_c 5.776
_cell_angle_alpha 90.00
_cell_angle_beta 90.00
_cell_angle_gamma 90.00
_symmetry_space_group_name_H-M 'P 1'
_symmetry_Int_Tables_number 1
_symmetry_space_group_name_Hall 'P 1'
loop_
_atom_site_label
_atom_site_fract_x
_atom_site_fract_y
_atom_site_fract_z
Pb1 0.000 0.000 0.000
Na1 0.500 0.500 0.500
As1 0.000 0.500 0.000
As2 0.500 0.000 0.000
Se1 0.000 0.000 0.500

---

(4)
# PBE-GGA Na2AsPbSe4, relaxed
# N(E_F) ... 0.2903 states/eV/atom
# E_tot ... -3.664 eV per atom
# Volume ... 25.4 A^3/atom
# Formation energy from raw total energies ... -0.55 eV/atom
data_Na2AsPbSe4
_cell_length_a 8.319
_cell_length_b 8.319
_cell_length_c 8.412
_cell_angle_alpha 120.38
_cell_angle_beta 120.38
_cell_angle_gamma 90.27
_symmetry_space_group_name_H-M 'P 1'
_symmetry_Int_Tables_number 1
_symmetry_space_group_name_Hall 'P 1'
loop_
_atom_site_label
_atom_site_fract_x
_atom_site_fract_y
_atom_site_fract_z
Na1 0.500 0.000 0.000
Na2 0.500 0.000 0.500
Na3 0.000 0.000 0.500
Na4 0.500 0.500 0.000
As1 0.500 0.500 0.500
As2 0.000 0.000 0.000
Pb1 0.000 0.500 0.000
Pb2 0.000 0.500 0.500
Se1 0.239 0.770 0.005
Se2 0.730 0.261 0.495
Se3 0.270 0.739 0.505
Se4 0.761 0.230 0.995
Se5 0.748 0.752 0.973
Se6 0.748 0.752 0.527
Se7 0.252 0.248 0.473
Se8 0.252 0.248 0.027

---

(5)
# PBE-GGA NaAsPbSe2, relaxed
# N(E_F) ... 0.8022 states/eV/atom
# E_tot ... -3.079 eV per atom
# Volume ... 35.4 A^3/atom
# Formation energy from raw total energies ... 0.25 eV/atom
data_NaAsPbSe2
_cell_length_a 5.660
_cell_length_b 5.660
_cell_length_c 5.519
_cell_angle_alpha 90.00
_cell_angle_beta 90.00
_cell_angle_gamma 90.00
_symmetry_space_group_name_H-M 'P 1'
_symmetry_Int_Tables_number 1
_symmetry_space_group_name_Hall 'P 1'
loop_
_atom_site_label
_atom_site_fract_x
_atom_site_fract_y
_atom_site_fract_z
Pb1 0.000 0.000 0.000
Na1 0.500 0.500 0.500
As1 0.000 0.000 0.500
Se1 0.000 0.500 0.000
Se2 0.500 0.000 0.000

---

(6)
# PBE-GGA Na2SrAsPb, relaxed
# N(E_F) ... 0.7809 states/eV/atom
# E_tot ... -2.637 eV per atom
# Volume ... 35.1 A^3/atom
# DFT formation energy ... -0.51 eV/f.u.
data_Na2SrAsPb
_cell_length_a 5.410
_cell_length_b 5.993
_cell_length_c 5.410
_cell_angle_alpha 90.00
_cell_angle_beta 90.00
_cell_angle_gamma 90.00
_symmetry_space_group_name_H-M 'P 1'
_symmetry_Int_Tables_number 1
_symmetry_space_group_name_Hall 'P 1'
loop_
_atom_site_label
_atom_site_fract_x
_atom_site_fract_y
_atom_site_fract_z
Pb1 0.000 0.500 0.000
Sr1 0.500 0.500 0.500
As1 0.000 0.000 0.000
Na1 0.000 0.000 0.500
Na2 0.500 0.000 0.000

---

(7)
# PBE-GGA NaTc2AsPb, relaxed
# N(E_F) ... 0.9306 states/eV/atom
# E_tot ... -4.222 eV per atom
# Volume ... 23.6 A^3/atom
# DFT formation energy ... 9.30 eV/f.u.
data_NaTc2AsPb
_cell_length_a 4.934
_cell_length_b 4.849
_cell_length_c 4.934
_cell_angle_alpha 90.00
_cell_angle_beta 90.00
_cell_angle_gamma 90.00
_symmetry_space_group_name_H-M 'P 1'
_symmetry_Int_Tables_number 1
_symmetry_space_group_name_Hall 'P 1'
loop_
_atom_site_label
_atom_site_fract_x
_atom_site_fract_y
_atom_site_fract_z
Pb1 0.500 0.500 0.500
Na1 0.000 0.000 0.000
As1 0.000 0.500 0.000
Tc1 0.000 0.000 0.500
Tc2 0.500 0.000 0.000

---

(8)
# PBE-GGA NaTe3AsPb, relaxed
# E_tot ... -3.476 eV per atom
# Volume ... 36.0 A^3/atom
# Formation energy from raw total energies ... -0.29 eV/atom
data_NaTe3AsPb
_cell_length_a 4.831
_cell_length_b 8.713
_cell_length_c 10.747
_cell_angle_alpha 107.30
_cell_angle_beta 90.00
_cell_angle_gamma 90.00
_symmetry_space_group_name_H-M 'P 1'
_symmetry_Int_Tables_number 1
_symmetry_space_group_name_Hall 'P 1'
loop_
_atom_site_label
_atom_site_fract_x
_atom_site_fract_y
_atom_site_fract_z
Na1 0.250 0.237 0.195
Na2 0.750 0.763 0.805
Te1 0.750 0.969 0.139
Te2 0.250 0.031 0.861
Te3 0.250 0.804 0.479
Te4 0.750 0.196 0.521
Te5 0.750 0.493 0.195
Te6 0.250 0.507 0.805
As1 0.250 0.110 0.633
As2 0.750 0.890 0.367
Pb1 0.250 0.685 0.102
Pb2 0.750 0.315 0.898

---

Which of these has the lowest volume?
NaTc2AsPb

---

Which value of E_tot does entry 2 give?
-2.921 eV per atom

---

Among the records above, which one has the highest E_tot?
Na2SrAsPb